1.
Below is a relaxed structure of TmPbCl5, with properties calculated at the PBE level.

Crystal system = monoclinic
Space group = C2/c (15)
ΔE_f (raw) = -1.748 eV per atom

abc: 7.1936 7.1936 10.2255
angles: 108.14 108.14 91.36
Last column: nearest neighbours and their distance in Å.
Positions (direct):
Tm 0.0000 0.0000 0.0000  6 Cl 2.59-2.68
Tm 0.5000 0.5000 0.5000  6 Cl 2.59-2.68
Pb 0.9131 0.5869 0.2500  4 Cl 2.77-2.90
Pb 0.0869 0.4131 0.7500  4 Cl 2.77-2.90
Cl 0.8029 0.8911 0.1428  1 Tm 2.59, 1 Pb 2.77
Cl 0.7740 0.2798 0.4688  1 Tm 2.59, 1 Pb 2.90
Cl 0.3911 0.3029 0.6428  1 Tm 2.59, 1 Pb 2.77
Cl 0.2323 0.2677 0.2500  2 Tm 2.68
Cl 0.2202 0.7260 0.0312  1 Tm 2.59, 1 Pb 2.90
Cl 0.7798 0.2740 0.9688  1 Tm 2.59, 1 Pb 2.90
Cl 0.7677 0.7323 0.7500  2 Tm 2.68
Cl 0.6089 0.6971 0.3572  1 Tm 2.59, 1 Pb 2.77
Cl 0.2260 0.7202 0.5312  1 Tm 2.59, 1 Pb 2.90
Cl 0.1971 0.1089 0.8572  1 Tm 2.59, 1 Pb 2.77

2.
Below is a relaxed structure of Li5Tl4In, with properties calculated at the PBE level.

Crystal system = tetragonal
Energy = -2.408 eV per atom
Space group = P4/mmm (123)

abc: 3.4817 3.4817 17.1584
angles: 90.00 90.00 90.00
Last column: nearest neighbours and their distance in Å.
Positions (direct):
Li 0.5000 0.5000 0.0957  4 In 2.96, 4 Tl 2.99, 1 Li 3.29
Li 0.5000 0.5000 0.2947  8 Tl 3.00-3.03
Li 0.5000 0.5000 0.5000  8 Tl 3.03
Li 0.5000 0.5000 0.7053  8 Tl 3.00-3.03
Li 0.5000 0.5000 0.9043  4 In 2.96, 4 Tl 2.99, 1 Li 3.29
Tl 0.0000 0.0000 0.1944  8 Li 2.99-3.00, 1 In 3.34
Tl 0.0000 0.0000 0.3975  8 Li 3.03
Tl 0.0000 0.0000 0.6025  8 Li 3.03
Tl 0.0000 0.0000 0.8056  8 Li 2.99-3.00, 1 In 3.34
In 0.0000 0.0000 0.0000  8 Li 2.96

3.
Below is a relaxed structure of Sr2GeAu, with properties calculated at the PBE level.

Crystal system = monoclinic
Energy = -3.458 eV per atom
Space group = P2_1/m (11)

abc: 4.6595 6.1763 8.9736
angles: 111.29 90.00 90.00
Last column: nearest neighbours and their distance in Å.
Positions (direct):
Sr 0.7500 0.2201 0.4337  4 Au 3.24-3.44, 3 Ge 3.29-3.36
Sr 0.2500 0.7799 0.5663  4 Au 3.24-3.44, 3 Ge 3.29-3.36
Sr 0.2500 0.7834 0.0759  3 Au 3.27-3.34, 4 Ge 3.28-3.36
Sr 0.7500 0.2166 0.9241  3 Au 3.27-3.34, 4 Ge 3.28-3.36
Ge 0.2500 0.3587 0.2132  2 Au 2.78
Ge 0.7500 0.6413 0.7868  2 Au 2.78
Au 0.7500 0.6217 0.2811  2 Ge 2.78
Au 0.2500 0.3783 0.7189  2 Ge 2.78

4.
Below is a relaxed structure of Cu2PAuSe4, with properties calculated at the PBE level.

Crystal system = tetragonal
Space group = I-42m (121)
ΔE_f (raw) = -0.085 eV per atom

abc: 5.7709 5.7709 6.7449
angles: 115.34 115.34 90.00
Last column: nearest neighbours and their distance in Å.
Positions (direct):
Cu 0.7500 0.2500 0.5000  4 Se 2.42
Cu 0.2500 0.7500 0.5000  4 Se 2.42
P 0.5000 0.5000 0.0000  4 Se 2.32
Au 0.0001 0.0001 0.0002  4 Se 2.63
Se 0.5970 0.5970 0.7406  1 P 2.32, 2 Cu 2.42
Se 0.4031 0.8564 0.2595  1 P 2.32, 2 Cu 2.42
Se 0.8564 0.4031 0.2595  1 P 2.32, 2 Cu 2.42
Se 0.1436 0.1436 0.7406  1 P 2.32, 2 Cu 2.42

5.
Below is a relaxed structure of Cs2MoOs, with properties calculated at the PBE level.

Crystal system = cubic
Energy = -3.369 eV per atom
Space group = Fm-3m (225)

abc: 5.8830 5.8830 5.8830
angles: 60.00 60.00 60.00
Last column: nearest neighbours and their distance in Å.
Positions (direct):
Cs 0.2500 0.2500 0.2500  4 Mo 3.60, 4 Os 3.60
Cs 0.7500 0.7500 0.7500  4 Mo 3.60, 4 Os 3.60
Mo 0.0000 0.0000 0.0000  8 Cs 3.60
Os 0.5000 0.5000 0.5000  8 Cs 3.60

6.
Below is a relaxed structure of CaLa2SbF, with properties calculated at the PBE level.

Crystal system = tetragonal
Space group = P4/mmm (123)
ΔE_f (raw) = -0.735 eV per atom

abc: 6.0761 4.2107 6.0761
angles: 90.00 90.00 90.00
Last column: nearest neighbours and their distance in Å.
Positions (direct):
Sb 0.5000 0.5000 0.5000  8 La 3.70
Ca 0.0000 0.0000 0.0000  2 F 2.11
F 0.0000 0.5000 0.0000  2 Ca 2.11
La 0.0000 0.0000 0.5000  2 Ca 3.04
La 0.5000 0.0000 0.0000  2 Ca 3.04